Crystalline Be2MoPd at its relaxed geometry. Source: Alexandria, functional PBE.

Geometry as POSCAR:
```
Be2MoPd
1.0
-3.0583 3.0583 2.6950
3.0583 -3.0583 2.6950
3.0583 3.0583 -2.6950
Be Mo Pd
4 2 2
direct
0.1089 0.6250 0.9839
0.3750 0.3589 0.4839
0.6411 0.1250 0.0161
0.8750 0.8911 0.5161
0.2500 0.7500 0.5000
0.5000 0.5000 0.0000
0.0000 0.0000 0.0000
0.7500 0.2500 0.5000
```

Values from the calculation:
E_form: 0.24 eV per atom
SG: I-42d